1.
The following is a PBE calculation of an optimized crystal structure of Pr6Ge3Te, from the Alexandria database.

Unit cell a=9.2854 b=9.2854 c=7.7286 alpha=90.00 beta=90.00 gamma=104.79
With the nearest neighbours (Å) after each atom.
Sites, in units of the cell vectors:
1 Pr 0.0071 0.9929 0.5000  2 Ge 3.00, 2 Te 3.19-3.20
2 Pr 0.0932 0.5354 0.4766  3 Ge 3.05-3.12, 1 Te 3.23
3 Pr 0.2483 0.7517 0.8532  3 Ge 3.10-3.16, 1 Te 3.14
4 Pr 0.2858 0.3611 0.8836  4 Ge 2.99-3.19
5 Pr 0.3611 0.2858 0.3836  4 Ge 2.99-3.19
6 Pr 0.4646 0.9068 0.4766  3 Ge 3.05-3.12, 1 Te 3.23
7 Pr 0.5354 0.0932 0.9766  3 Ge 3.05-3.12, 1 Te 3.23
8 Pr 0.6389 0.7142 0.8836  4 Ge 2.99-3.19
9 Pr 0.7142 0.6389 0.3836  4 Ge 2.99-3.19
10 Pr 0.7517 0.2483 0.3532  3 Ge 3.10-3.16, 1 Te 3.14
11 Pr 0.9068 0.4646 0.9766  3 Ge 3.05-3.12, 1 Te 3.23
12 Pr 0.9929 0.0071 0.0000  2 Ge 3.00, 2 Te 3.19-3.20
13 Ge 0.0719 0.2868 0.2131  6 Pr 2.99-3.19
14 Ge 0.2868 0.0719 0.7131  6 Pr 2.99-3.19
15 Ge 0.4151 0.5849 0.5964  7 Pr 3.05-3.16
16 Ge 0.5849 0.4151 0.0964  7 Pr 3.05-3.16
17 Ge 0.7132 0.9281 0.2131  6 Pr 2.99-3.19
18 Ge 0.9281 0.7132 0.7131  6 Pr 2.99-3.19
19 Te 0.1727 0.8273 0.2331  5 Pr 3.14-3.23
20 Te 0.8273 0.1727 0.7331  5 Pr 3.14-3.23

Output
DFT total energy: -5.266 eV per atom

2.
The following is a PBE calculation of an optimized crystal structure of Pr3GeTe2, from the Alexandria database.

Unit cell a=7.7669 b=7.7669 c=7.7068 alpha=99.75 beta=99.75 gamma=119.40
With the nearest neighbours (Å) after each atom.
Sites, in units of the cell vectors:
1 Pr 0.0000 0.5000 0.0000  2 Ge 3.12, 4 Te 3.18
2 Pr 0.1479 0.2983 0.4969  2 Ge 3.03-3.04, 4 Te 3.18-3.33
3 Pr 0.2983 0.1479 0.9969  2 Ge 3.03-3.04, 4 Te 3.18-3.33
4 Pr 0.5000 0.0000 0.5000  2 Ge 3.12, 4 Te 3.18
5 Pr 0.7017 0.8521 0.0031  2 Ge 3.03-3.04, 4 Te 3.18-3.33
6 Pr 0.8521 0.7017 0.5031  2 Ge 3.03-3.04, 4 Te 3.18-3.33
7 Ge 0.0878 0.9122 0.2500  6 Pr 3.03-3.12
8 Ge 0.9122 0.0878 0.7500  6 Pr 3.03-3.12
9 Te 0.2570 0.7430 0.7500  6 Pr 3.18-3.28
10 Te 0.4182 0.5818 0.2500  6 Pr 3.18-3.33
11 Te 0.5818 0.4182 0.7500  6 Pr 3.18-3.33
12 Te 0.7430 0.2570 0.2500  6 Pr 3.18-3.28

Output
polymorph energy (0 for the lowest one): 11 meV per atom

3.
The following is a PBE calculation of an optimized crystal structure of Pr8Ge5Te, from the Alexandria database.

Unit cell a=8.0520 b=8.0520 c=8.0520 alpha=109.21 beta=109.21 gamma=109.99
With the nearest neighbours (Å) after each atom.
Sites, in units of the cell vectors:
1 Pr 0.1178 0.3618 0.1024  5 Ge 3.02-3.38, 1 Te 3.17
2 Pr 0.1244 0.3713 0.6217  3 Ge 3.01-3.06
3 Pr 0.2594 0.0155 0.8976  5 Ge 3.02-3.38, 1 Te 3.17
4 Pr 0.4973 0.8756 0.2469  3 Ge 3.01-3.06
5 Pr 0.6287 0.2504 0.7531  3 Ge 3.01-3.06
6 Pr 0.6382 0.7406 0.7560  5 Ge 3.02-3.38, 1 Te 3.17
7 Pr 0.7496 0.5027 0.3783  3 Ge 3.01-3.06
8 Pr 0.9845 0.8822 0.2440  5 Ge 3.02-3.38, 1 Te 3.17
9 Ge 0.0042 0.6269 0.8791  5 Pr 3.01-3.32
10 Ge 0.3731 0.2521 0.3773  5 Pr 3.01-3.32
11 Ge 0.5000 0.5000 0.0000  8 Pr 3.04-3.36
12 Ge 0.7479 0.1252 0.1209  5 Pr 3.01-3.32
13 Ge 0.8748 0.9958 0.6227  5 Pr 3.01-3.32
14 Te 0.2500 0.7500 0.5000  8 Pr 3.17-3.43

Output
DFT total energy: -5.483 eV per atom